1.
Density functional theory data (PBE) for a relaxed structure of PrY2Ag4Ge4.

Values from the calculation:
Final energy in eV/atom: -4.8774
Theoretical density in g cm⁻³: 7.51

Unit cell a=8.443 b=8.443 c=8.443 alpha=150.18 beta=129.18 gamma=60.04
Positions (direct):
1 Ag 0.633 0.330 0.303
2 Ag 0.973 0.670 0.303
3 Ag 0.027 0.330 0.697
4 Ag 0.367 0.670 0.697
5 Ge 0.219 0.219 0.000
6 Ge 0.781 0.781 0.000
7 Ge 0.679 0.500 0.179
8 Ge 0.321 0.500 0.821
9 Pr 0.000 0.000 0.000
10 Y 0.626 0.126 0.500
11 Y 0.374 0.874 0.500



2.
Density functional theory data (PBE) for a relaxed structure of KDyMgS3.

Values from the calculation:
Final energy in eV/atom: -4.9432
Theoretical density in g cm⁻³: 3.22

Unit cell a=8.687 b=4.100 c=9.768 alpha=90.00 beta=107.29 gamma=90.00
Positions (direct):
1 Dy 0.168 0.250 0.135
2 Dy 0.832 0.750 0.865
3 K 0.708 0.250 0.218
4 K 0.292 0.750 0.782
5 Mg 0.416 0.750 0.390
6 Mg 0.584 0.250 0.610
7 S 0.384 0.750 0.139
8 S 0.963 0.750 0.150
9 S 0.301 0.250 0.453
10 S 0.699 0.750 0.547
11 S 0.037 0.250 0.850
12 S 0.616 0.250 0.861



3.
Density functional theory data (PBE) for a relaxed structure of BaTmZnTe3.

Values from the calculation:
Final energy in eV/atom: -3.9435
Theoretical density in g cm⁻³: 6.42

Unit cell a=7.760 b=7.760 c=11.292 alpha=90.00 beta=90.00 gamma=144.96
Positions (direct):
1 Ba 0.258 0.742 0.250
2 Ba 0.742 0.258 0.750
3 Te 0.867 0.133 0.059
4 Te 0.576 0.424 0.250
5 Te 0.867 0.133 0.441
6 Te 0.133 0.867 0.559
7 Te 0.424 0.576 0.750
8 Te 0.133 0.867 0.941
9 Tm 0.500 0.500 0.000
10 Tm 0.500 0.500 0.500
11 Zn 0.983 0.017 0.250
12 Zn 0.017 0.983 0.750